[1]
## AcSm3Dy5 (PBE)

Data for a relaxed structure of AcSm3Dy5.

Output
Formation energy from the elements: 0.09 eV per atom

Cell lengths 15.2506, 9.9585, 9.0752 Å; angles 90.00, 118.66, 90.00 degrees
Space group C2/c (No. 15)
Asymmetric unit:
Ac1 0.0000 0.0803 0.2500
Sm1 0.0841 0.2590 0.6687
Sm2 0.2500 0.2500 0.5000
Dy1 0.0000 0.4223 0.2500
Dy2 0.1658 0.4153 0.0818
Dy3 0.1750 0.0870 0.0912

[2]
## Pr7Nd4Dy (PBE)

Data for a relaxed structure of Pr7Nd4Dy.

Output
Formation energy from the elements: 0.01 eV per atom

Cell lengths 6.4361, 7.4117, 9.2265 Å; angles 89.95, 76.45, 89.90 degrees
Space group P-1 (No. 2)
Asymmetric unit:
Pr1 0.0000 0.0000 0.0000
Pr2 0.2186 0.5005 0.3317
Pr3 0.2803 0.2505 0.6697
Pr4 0.5002 0.2510 0.0004
Nd1 0.2209 0.0006 0.3326
Nd2 0.2797 0.7487 0.6701
Dy1 0.0000 0.5000 0.0000

[3]
## Pm4CdTe3 (PBE)

Data for a relaxed structure of Pm4CdTe3.

Output
ΔE_f (raw): -1.122 eV/atom

Cell lengths 9.1069, 12.6214, 4.3730 Å; angles 90.00, 90.00, 90.00 degrees
Space group Cmmm (No. 65)
Asymmetric unit:
Pm1 0.0000 0.2476 0.0000
Pm2 0.2471 0.0000 0.5000
Cd1 0.0000 0.0000 0.0000
Te1 0.0000 0.5000 0.0000
Te2 0.2500 0.2500 0.5000

[4]
## CoRh5S8 (PBE)

Data for a relaxed structure of CoRh5S8.

Output
ΔE_f (raw): -0.427 eV/atom

Cell lengths 9.7597, 9.7597, 9.7597 Å; angles 90.00, 90.00, 90.00 degrees
Space group F-43m (No. 216)
Asymmetric unit:
Co1 0.0000 0.0000 0.0000
Rh1 0.1287 0.1287 0.3713
Rh2 0.2500 0.2500 0.7500
S1 0.1161 0.1161 0.6161
S2 0.1267 0.1267 0.1267

[5]
## NaP3Pd (PBE)

Data for a relaxed structure of NaP3Pd.

Output
Formation energy from the elements: 1.55 eV per atom

Cell lengths 4.7278, 4.7278, 4.7278 Å; angles 90.00, 90.00, 90.00 degrees
Space group Pm-3m (No. 221)
Asymmetric unit:
Na1 0.0000 0.0000 0.0000
P1 0.0000 0.0000 0.5000
Pd1 0.5000 0.5000 0.5000

[6]
## Hf2CoTe (PBE)

Data for a relaxed structure of Hf2CoTe.

Output
ΔE_f (raw): -0.098 eV/atom

Cell lengths 7.4098, 7.4098, 5.8767 Å; angles 90.00, 90.00, 90.00 degrees
Space group I-42d (No. 122)
Asymmetric unit:
Hf1 0.1983 0.2500 0.1250
Co1 0.0000 0.0000 0.0000
Te1 0.0000 0.0000 0.5000

[7]
## Bi3Rh3Pb (PBE)

Data for a relaxed structure of Bi3Rh3Pb.

Output
Formation energy from the elements: -0.03 eV per atom

Cell lengths 8.2844, 8.2844, 16.6531 Å; angles 90.00, 90.00, 120.00 degrees
Space group R-3 (No. 148, hexagonal axes)
Asymmetric unit:
Bi1 0.0136 0.7345 0.1030
Rh1 0.0055 0.6249 0.9377
Pb1 0.0000 0.0000 0.3342

[8]
## CoIr2Rh (PBE)

Data for a relaxed structure of CoIr2Rh.

Output
Formation energy from the elements: 0.03 eV per atom

Cell lengths 4.6349, 2.6983, 4.6597 Å; angles 90.00, 109.48, 90.00 degrees
Space group P2/m (No. 10)
Asymmetric unit:
Co1 0.0000 0.0000 0.0000
Ir1 0.5000 0.0000 0.5000
Ir2 0.5000 0.5000 0.0000
Rh1 0.0000 0.5000 0.5000

- What is the formula in the sixth record?
  Hf2CoTe